(1)
DFT (PBE) results for a relaxed Rb2Pt2Au crystal.

POSCAR file:
```
Rb2Pt2Au
1.0
6.9151 0.0000 0.0000
0.0000 6.9151 0.0000
0.0000 0.0000 5.5163
Au Rb Pt
2 4 4
direct
0.0000 0.0000 0.0000
0.5000 0.5000 0.0000
0.1788 0.6788 0.5000
0.6788 0.8212 0.5000
0.8212 0.3212 0.5000
0.3212 0.1788 0.5000
0.3688 0.8688 0.0000
0.8688 0.6312 0.0000
0.6312 0.1312 0.0000
0.1312 0.3688 0.0000
```

## Properties
Calculated volume, A^3/atom: 26.38
Symmetry: P4/mbm (127)


(2)
DFT (PBE) results for a relaxed Rb2Pt2Au crystal.

POSCAR file:
```
Rb2Pt2Au
1.0
-2.0898 -5.5466 -2.9860
5.3955 0.0475 -3.8645
3.5187 -4.8411 -0.8459
Au Rb Pt
1 2 2
direct
0.0000 0.0000 0.0000
0.7500 0.2500 0.5000
0.2500 0.7500 0.5000
0.3380 0.3380 0.3239
0.6620 0.6620 0.6761
```

## Properties
Calculated volume, A^3/atom: 33.56
Symmetry: I4/mmm (139)


Least stable: (2)


(1)
DFT (PBE) results for a relaxed RePt2Au crystal.

POSCAR file:
```
RePt2Au
1.0
-1.2835 -3.4527 6.1874
6.3397 2.2485 2.5698
1.3203 1.6521 5.3859
Re Au Pt
2 2 4
direct
0.5000 0.5000 0.0000
0.2500 0.7500 0.5000
0.0000 0.0000 0.0000
0.7500 0.2500 0.5000
0.6000 0.1250 0.2500
0.1500 0.6250 0.2500
0.3750 0.4000 0.7500
0.8750 0.8500 0.7500
```

## Properties
Calculated volume, A^3/atom: 17.82
Symmetry: I-42d (122)


(2)
DFT (PBE) results for a relaxed RePt2Au crystal.

POSCAR file:
```
RePt2Au
1.0
6.2738 0.0047 0.0153
-2.5286 4.2540 -0.0120
1.2166 0.7295 2.3785
Au Pt Re
1 2 1
direct
0.5000 0.5000 0.0000
0.0000 0.0000 0.0000
0.5000 0.0000 0.5000
0.0000 0.5000 0.5000
```

## Properties
Calculated volume, A^3/atom: 15.86
Symmetry: Cmmm (65)


Least stable: (1)


(1)
DFT (PBE) results for a relaxed RePt2Au crystal.

POSCAR file:
```
RePt2Au
1.0
4.4943 0.0000 0.0000
2.2471 3.8921 0.0000
2.2471 1.2974 3.6696
Au Pt Re
1 2 1
direct
0.5000 0.5000 0.5000
0.0000 0.0000 0.0000
0.2500 0.2500 0.2500
0.7500 0.7500 0.7500
```

## Properties
Calculated volume, A^3/atom: 16.05
Symmetry: F-43m (216)


(2)
DFT (PBE) results for a relaxed RePt2Au crystal.

POSCAR file:
```
RePt2Au
1.0
-0.6737 -3.8778 -0.0910
2.2083 -0.4237 1.7068
-1.2114 0.0634 6.2691
Au Pt Re
1 2 1
direct
0.5000 0.7500 0.7500
0.0000 0.9845 0.0178
0.0000 0.5155 0.4822
0.5000 0.2500 0.2500
```

## Properties
Calculated volume, A^3/atom: 15.90
Symmetry: P2/m (10)


Least stable: (1)


(1)
DFT (PBE) results for a relaxed RePt2Au crystal.

POSCAR file:
```
RePt2Au
1.0
9.4466 -0.0030 -0.0018
9.0292 2.7772 -0.0018
9.0292 1.3558 2.4238
Au Pt Re
1 2 1
direct
0.7517 0.7517 0.7517
0.9982 0.9982 0.9982
0.2469 0.2469 0.2469
0.5032 0.5032 0.5032
```

## Properties
Calculated volume, A^3/atom: 15.92
Symmetry: R3m (160)


(2)
DFT (PBE) results for a relaxed RePt2Au crystal.

POSCAR file:
```
RePt2Au
1.0
-4.7317 -1.0317 -0.6482
-0.4786 -4.5261 -1.7772
2.4660 1.7672 3.8301
Au Pt Re
1 2 1
direct
0.2500 0.7500 0.5000
0.9999 0.9999 0.0000
0.5001 0.5001 0.0000
0.7500 0.2500 0.5000
```

## Properties
Calculated volume, A^3/atom: 15.78
Symmetry: I4/mmm (139)


(3)
DFT (PBE) results for a relaxed RePt2Au crystal.

POSCAR file:
```
RePt2Au
1.0
4.8528 0.0042 -0.0049
4.0537 2.6678 -0.0049
0.7316 0.2195 4.9056
Au Pt Re
1 2 1
direct
0.2458 0.2458 0.2470
0.0016 0.0016 0.0026
0.7559 0.7559 0.7297
0.4967 0.4967 0.5207
```

## Properties
Calculated volume, A^3/atom: 15.86
Symmetry: Cm (8)


(4)
DFT (PBE) results for a relaxed RePt2Au crystal.

POSCAR file:
```
RePt2Au
1.0
6.3662 0.5100 -0.0753
3.9005 5.0571 0.0753
-4.5574 -3.8458 2.2879
Au Pt Re
1 2 1
direct
0.3047 0.8047 0.5000
0.9589 0.9589 0.0000
0.7109 0.2109 0.5000
0.5256 0.5256 0.0000
```

## Properties
Calculated volume, A^3/atom: 17.54
Symmetry: Imm2 (44)


Least stable: (2)


(1)
DFT (PBE) results for a relaxed RePtAu3 crystal.

POSCAR file:
```
RePtAu3
1.0
-3.5892 3.2449 -1.0754
-1.8387 -0.5179 4.5738
2.8819 3.7109 1.5788
Re Au Pt
1 3 1
direct
0.0000 0.0000 0.0000
0.0000 0.5000 0.0000
0.0000 0.0000 0.5000
0.5000 0.0000 0.0000
0.5000 0.5000 0.5000
```

## Properties
Calculated volume, A^3/atom: 24.36
Symmetry: Pm-3m (221)


(2)
DFT (PBE) results for a relaxed RePtAu3 crystal.

POSCAR file:
```
RePtAu3
1.0
5.0381 0.0000 0.0000
0.0000 5.0381 0.0000
0.0000 0.0000 5.0381
Re Au Pt
1 3 1
direct
0.5000 0.5000 0.5000
0.0000 0.5000 0.0000
0.0000 0.0000 0.5000
0.5000 0.0000 0.0000
0.0000 0.0000 0.0000
```

## Properties
Calculated volume, A^3/atom: 25.58
Symmetry: Pm-3m (221)


Least stable: (1)


(1)
DFT (PBE) results for a relaxed Pt3RhAu crystal.

POSCAR file:
```
Pt3RhAu
1.0
4.6954 0.0000 0.0000
0.0000 6.6548 -4.5596
0.0000 -0.4945 11.3467
Pt Rh Au
12 4 4
direct
0.9359 0.3545 0.2920
0.0641 0.6455 0.7080
0.4359 0.1455 0.2080
0.5641 0.8545 0.7920
0.4159 0.5240 0.2792
0.5841 0.4760 0.7208
0.9159 0.9760 0.2208
0.0841 0.0240 0.7792
0.9196 0.6716 0.2592
0.0804 0.3284 0.7408
0.4196 0.8284 0.2408
0.5804 0.1716 0.7592
0.2467 0.4275 0.0078
0.7533 0.5725 0.9922
0.7467 0.0725 0.4922
0.2533 0.9275 0.5078
0.7611 0.7340 0.5283
0.2389 0.2660 0.4717
0.2611 0.7660 0.9717
0.7389 0.2340 0.0283
```

## Properties
Calculated volume, A^3/atom: 17.20
Symmetry: P2_1/c (14)


(2)
DFT (PBE) results for a relaxed Pt3RhAu crystal.

POSCAR file:
```
Pt3RhAu
1.0
4.8971 0.0000 0.0000
0.0000 4.8971 0.0000
0.0000 0.0000 4.8971
Rh Au Pt
1 1 3
direct
0.5000 0.5000 0.5000
0.0000 0.0000 0.0000
0.0000 0.5000 0.0000
0.0000 0.0000 0.5000
0.5000 0.0000 0.0000
```

## Properties
Calculated volume, A^3/atom: 23.49
Symmetry: Pm-3m (221)


Least stable: (2)


(1)
DFT (PBE) results for a relaxed ThPtRhAu crystal.

POSCAR file:
```
ThPtRhAu
1.0
-1.3149 3.6637 0.9052
-3.9753 -1.4808 0.2189
0.5706 -0.8817 4.3978
Th Pt Rh Au
1 1 1 1
direct
0.5000 0.0000 0.5000
0.0000 0.0000 0.0000
0.0000 0.5000 0.5000
0.5000 0.5000 0.0000
```

## Properties
Calculated volume, A^3/atom: 19.19
Symmetry: Pmmm (47)


(2)
DFT (PBE) results for a relaxed ThPtRhAu crystal.

POSCAR file:
```
ThPtRhAu
1.0
-1.4770 -0.2805 4.5750
1.7857 -3.4026 2.9024
2.9912 1.2110 3.5744
Rh Au Pt Th
1 1 1 1
direct
0.0000 0.0000 0.0000
0.7500 0.7500 0.7500
0.5000 0.5000 0.5000
0.2500 0.2500 0.2500
```

## Properties
Calculated volume, A^3/atom: 19.74
Symmetry: F-43m (216)


Least stable: (2)


(1)
DFT (PBE) results for a relaxed RuPtAu2 crystal.

POSCAR file:
```
RuPtAu2
1.0
5.6609 0.0024 -0.0014
2.8740 4.8771 0.0014
-3.5663 -3.6662 2.4263
Au Pt Ru
2 1 1
direct
0.0024 0.0024 0.0000
0.4976 0.4976 0.0000
0.7500 0.2500 0.5000
0.2500 0.7500 0.5000
```

## Properties
Calculated volume, A^3/atom: 16.75
Symmetry: Immm (71)


(2)
DFT (PBE) results for a relaxed RuPtAu2 crystal.

POSCAR file:
```
RuPtAu2
1.0
9.6328 0.0143 0.0084
9.2146 2.8078 0.0084
9.2146 1.3797 2.4454
Au Pt Ru
2 1 1
direct
0.0039 0.0039 0.0039
0.2478 0.2478 0.2478
0.4952 0.4952 0.4952
0.7530 0.7530 0.7530
```

## Properties
Calculated volume, A^3/atom: 16.40
Symmetry: R3m (160)


Least stable: (1)